Version 1
# ThScPd2 PBE relaxed
# Space group: No. 38
data_ThScPd2
_chemical_formula_sum 'Th1 Sc1 Pd2'
_space_group_name_H-M_alt 'P 1'
_space_group_IT_number 1
_cell_length_a 3.679
_cell_length_b 4.568
_cell_length_c 5.554
_cell_angle_alpha 90.00
_cell_angle_beta 109.33
_cell_angle_gamma 90.00
loop_
_space_group_symop_operation_xyz
'x,y,z'
loop_
_atom_site_label
_atom_site_fract_x
_atom_site_fract_y
_atom_site_fract_z
Pd1 0.168 0.500 0.875
Pd2 0.993 0.000 0.525
Th1 0.723 0.000 0.986
Sc1 0.447 0.500 0.432

---

Version 2
# ThScPd2 PBE relaxed
# Space group: No. 123
data_ThScPd2
_chemical_formula_sum 'Th1 Sc1 Pd2'
_space_group_name_H-M_alt 'P 1'
_space_group_IT_number 1
_cell_length_a 3.339
_cell_length_b 3.339
_cell_length_c 7.439
_cell_angle_alpha 90.00
_cell_angle_beta 90.00
_cell_angle_gamma 90.00
loop_
_space_group_symop_operation_xyz
'x,y,z'
loop_
_atom_site_label
_atom_site_fract_x
_atom_site_fract_y
_atom_site_fract_z
Pd1 0.000 0.000 0.211
Pd2 0.000 0.000 0.789
Sc1 0.500 0.500 0.000
Th1 0.500 0.500 0.500

---

Version 3
# ThScPd2 PBE relaxed
# Space group: No. 166
data_ThScPd2
_chemical_formula_sum 'Th1 Sc1 Pd2'
_space_group_name_H-M_alt 'P 1'
_space_group_IT_number 1
_cell_length_a 4.668
_cell_length_b 4.668
_cell_length_c 5.374
_cell_angle_alpha 64.26
_cell_angle_beta 64.26
_cell_angle_gamma 60.00
loop_
_space_group_symop_operation_xyz
'x,y,z'
loop_
_atom_site_label
_atom_site_fract_x
_atom_site_fract_y
_atom_site_fract_z
Pd1 0.281 0.281 0.156
Pd2 0.719 0.719 0.844
Sc1 0.000 0.000 0.000
Th1 0.500 0.500 0.500

---

Ordering by calculated energy gives the sequence version 1, version 3, version 2, with the first entry being the most stable.

---

Version 1
# ThSc2Pd8 PBE relaxed
# Space group: No. 12
data_ThSc2Pd8
_chemical_formula_sum 'Th1 Sc2 Pd8'
_space_group_name_H-M_alt 'P 1'
_space_group_IT_number 1
_cell_length_a 4.142
_cell_length_b 6.630
_cell_length_c 7.637
_cell_angle_alpha 106.81
_cell_angle_beta 105.73
_cell_angle_gamma 90.00
loop_
_space_group_symop_operation_xyz
'x,y,z'
loop_
_atom_site_label
_atom_site_fract_x
_atom_site_fract_y
_atom_site_fract_z
Pd1 0.853 0.801 0.707
Sc1 0.220 0.664 0.441
Th1 0.500 0.000 0.000
Pd2 0.147 0.199 0.293
Pd3 0.682 0.914 0.364
Pd4 0.042 0.719 0.083
Pd5 0.401 0.539 0.802
Pd6 0.318 0.086 0.636
Pd7 0.599 0.461 0.198
Pd8 0.958 0.281 0.917
Sc2 0.780 0.336 0.559

---

Version 2
# ThSc2Pd8 PBE relaxed
# Space group: No. 71
data_ThSc2Pd8
_chemical_formula_sum 'Th1 Sc2 Pd8'
_space_group_name_H-M_alt 'P 1'
_space_group_IT_number 1
_cell_length_a 4.283
_cell_length_b 7.289
_cell_length_c 7.633
_cell_angle_alpha 118.52
_cell_angle_beta 106.29
_cell_angle_gamma 90.00
loop_
_space_group_symop_operation_xyz
'x,y,z'
loop_
_atom_site_label
_atom_site_fract_x
_atom_site_fract_y
_atom_site_fract_z
Pd1 0.660 0.882 0.321
Pd2 0.157 0.157 0.314
Pd3 0.843 0.843 0.686
Sc1 0.190 0.690 0.381
Pd4 0.000 0.701 0.000
Pd5 0.000 0.299 0.000
Pd6 0.340 0.561 0.679
Sc2 0.810 0.310 0.619
Th1 0.500 0.000 0.000
Pd7 0.340 0.118 0.679
Pd8 0.660 0.439 0.321

---

Ordering by calculated energy gives the sequence version 1, version 2, with the first entry being the most stable.